# 1
4
Lattice="-0.011 3.947 -2.376 -0.216 -1.679 -4.285 -2.855 -1.068 3.454" Properties=species:S:1:pos:R:3 comment="ZrRe2Ni PBE-GGA optimized geometry" e_form_mev_per_atom=-24 dos_ef_per_ev_atom=0.8941 e_tot_ev_per_cell=-39.32 total_magnetization_mub_per_atom=0.000 e_above_lowest_polymorph_ev_per_atom=0.027 pbc="T T T"
Ni -1.490 2.007 -1.126
Re 0.000 0.000 0.000
Re -1.592 -0.806 -2.080
Zr -0.114 1.134 -3.330

***

# 2
6
Lattice="0.000 3.397 3.397 3.397 0.000 3.397 3.397 3.397 0.000" Properties=species:S:1:pos:R:3 comment="ZrReNi4 PBE-GGA optimized geometry" e_form_mev_per_atom=-152 dos_ef_per_ev_atom=1.2451 e_tot_ev_per_cell=-45.03 total_magnetization_mub_per_atom=0.368 pbc="T T T"
Zr 0.000 0.000 0.000
Re 1.698 1.698 1.698
Ni 2.554 2.554 4.239
Ni 2.554 4.239 2.554
Ni 4.239 4.239 4.239
Ni 4.239 2.554 2.554

***

# 3
6
Lattice="3.679 0.000 0.000 0.000 3.679 0.000 -1.839 -1.839 7.295" Properties=species:S:1:pos:R:3 comment="ZrReNi PBE-GGA optimized geometry" e_form_mev_per_atom=-170 dos_ef_per_ev_atom=0.8707 e_tot_ev_per_cell=-54.57 total_magnetization_mub_per_atom=0.000 e_above_lowest_polymorph_ev_per_atom=0.000 pbc="T T T"
Ni 0.000 0.000 1.952
Ni 1.839 1.839 5.342
Re 0.000 1.839 0.000
Re 1.839 0.000 0.000
Zr 1.839 1.839 2.537
Zr 0.000 0.000 4.758

***

# 4
4
Lattice="4.364 0.000 0.000 0.000 2.867 -0.002 0.000 0.925 5.057" Properties=species:S:1:pos:R:3 comment="ZrRe2Ni PBE-GGA optimized geometry" e_form_mev_per_atom=-25 dos_ef_per_ev_atom=0.8084 e_tot_ev_per_cell=-39.33 total_magnetization_mub_per_atom=0.000 e_above_lowest_polymorph_ev_per_atom=0.026 pbc="T T T"
Ni 2.182 3.315 3.699
Re 0.000 2.561 0.184
Re 2.182 0.825 0.958
Zr 0.000 1.854 2.739